(P)
! K2MoAu (SCAN, single point on PBEsol structure); values from VASP
! - Density: 4.73 g cm⁻³
! - Space group: No. 71
&SYSTEM
  ibrav = 0, nat = 4, ntyp = 3
/
ATOMIC_SPECIES
K 39.10 K.upf
Au 196.97 Au.upf
Mo 95.94 Mo.upf
CELL_PARAMETERS angstrom
2.837 0.000 0.000
0.000 4.656 -0.018
-1.419 -2.283 9.864
ATOMIC_POSITIONS angstrom
K 1.419 2.359 6.964
K 0.000 0.013 2.882
Au 1.419 0.000 0.000
Mo 0.000 2.328 -0.009

(Q)
! K2MoAu (SCAN, single point on PBEsol structure); values from VASP
! - Density: 7.13 g cm⁻³
! - Space group: No. 166
&SYSTEM
  ibrav = 0, nat = 4, ntyp = 3
/
ATOMIC_SPECIES
K 39.10 K.upf
Au 196.97 Au.upf
Mo 95.94 Mo.upf
CELL_PARAMETERS angstrom
-0.147 -0.664 -2.855
-0.074 -2.808 -0.852
-11.644 -1.026 -0.672
ATOMIC_POSITIONS angstrom
K -2.893 -1.125 -1.098
Au 0.000 0.000 0.000
K -8.971 -3.372 -3.281
Mo -5.932 -2.249 -2.189

Energy above the most stable structure, in meV per atom: (P) 0; (Q) 313